[1]
Density functional theory data (PBE) for an optimized crystal structure of DyHfPSe.

Results
**Uncorrected energy**: -7.327 eV/atom
**Formation energy (no corrections)**: -141.3 kJ per mole of atoms
**Mass density**: 8.87 g/cm3
**M_tot**: 0.00 μB per atom

Lattice parameters (Å, degrees): 7.100 7.100 7.100 31.04 31.04 31.04
Positions (direct):
Dy 0.000 0.000 0.000
Hf 0.812 0.812 0.812
P 0.413 0.413 0.413
Se 0.233 0.233 0.233

[2]
Density functional theory data (PBE) for an optimized crystal structure of TaSeBr2.

Results
**Uncorrected energy**: -3.850 eV/atom
**Formation energy (no corrections)**: 79.1 kJ per mole of atoms
**Mass density**: 8.31 g/cm3
**M_tot**: 0.00 μB per atom

Lattice parameters (Å, degrees): 5.335 5.335 3.119 90.00 90.00 109.17
Positions (direct):
Ta 0.000 0.000 0.000
Se 0.500 0.500 0.000
Br 0.000 0.500 0.500
Br 0.500 0.000 0.500

[3]
Density functional theory data (PBE) for an optimized crystal structure of MgZnPb2.

Results
**Uncorrected energy**: -2.486 eV/atom
**Mass density**: 8.26 g/cm3
**M_tot**: 0.00 μB per atom

Lattice parameters (Å, degrees): 5.232 5.232 5.232 60.00 60.00 60.00
Positions (direct):
Mg 0.000 0.000 0.000
Zn 0.500 0.500 0.500
Pb 0.250 0.250 0.250
Pb 0.750 0.750 0.750

[4]
Density functional theory data (PBE) for an optimized crystal structure of MnCoRe4.

Results
**Uncorrected energy**: -10.452 eV/atom
**Mass density**: 15.08 g/cm3
**M_tot**: 0.21 μB per atom

Lattice parameters (Å, degrees): 5.114 5.114 5.114 60.00 60.00 60.00
Positions (direct):
Mn 0.000 0.000 0.000
Co 0.250 0.250 0.250
Re 0.125 0.625 0.625
Re 0.625 0.125 0.625
Re 0.625 0.625 0.125
Re 0.625 0.625 0.625

[5]
Density functional theory data (PBE) for an optimized crystal structure of PmNd2P3.

Results
**Uncorrected energy**: -6.633 eV/atom
**Mass density**: 5.74 g/cm3
**M_tot**: 0.00 μB per atom

Lattice parameters (Å, degrees): 7.197 7.197 7.197 146.39 131.83 60.01
Positions (direct):
Pm 0.000 0.000 0.000
Nd 0.333 0.333 0.000
Nd 0.667 0.667 0.000
P 0.166 0.666 0.500
P 0.500 0.000 0.500
P 0.834 0.334 0.500

[6]
Density functional theory data (PBE) for an optimized crystal structure of Sn3Hg2I6.

Results
**Uncorrected energy**: -2.386 eV/atom
**Formation energy (no corrections)**: -38.0 kJ per mole of atoms
**Mass density**: 4.64 g/cm3
**M_tot**: 0.00 μB per atom

Lattice parameters (Å, degrees): 7.877 7.877 10.453 97.24 97.24 120.01
Positions (direct):
Sn 0.000 0.000 0.000
Sn 0.334 0.666 0.000
Sn 0.666 0.334 0.000
Hg 0.167 0.833 0.500
Hg 0.833 0.167 0.500
I 0.062 0.395 0.184
I 0.273 0.273 0.816
I 0.395 0.062 0.184
I 0.605 0.938 0.816
I 0.727 0.727 0.184
I 0.938 0.605 0.816

[7]
Density functional theory data (PBE) for an optimized crystal structure of CaMo2H.

Results
**Uncorrected energy**: -4.859 eV/atom
**Mass density**: 6.19 g/cm3
**M_tot**: 0.00 μB per atom

Lattice parameters (Å, degrees): 4.454 4.454 4.454 60.00 60.00 60.00
Positions (direct):
Ca 0.000 0.000 0.000
Mo 0.250 0.250 0.250
Mo 0.750 0.750 0.750
H 0.500 0.500 0.500

[8]
Density functional theory data (PBE) for an optimized crystal structure of La4TbPm2Tm2.

Results
**Uncorrected energy**: -4.723 eV/atom
**Mass density**: 7.20 g/cm3
**M_tot**: 0.00 μB per atom

Lattice parameters (Å, degrees): 8.190 8.190 8.093 107.57 107.57 36.96
Positions (direct):
La 0.054 0.054 0.328
La 0.277 0.277 0.670
La 0.723 0.723 0.330
La 0.946 0.946 0.672
Tb 0.500 0.500 0.000
Pm 0.388 0.388 0.329
Pm 0.612 0.612 0.671
Tm 0.168 0.168 0.000
Tm 0.832 0.832 0.000

[9]
Density functional theory data (PBE) for an optimized crystal structure of KIr.

Results
**Uncorrected energy**: -2.728 eV/atom
**Mass density**: 3.16 g/cm3
**M_tot**: 1.00 μB per atom

Lattice parameters (Å, degrees): 5.561 5.561 5.561 60.00 60.00 60.00
Positions (direct):
K 0.000 0.000 0.000
Ir 0.750 0.750 0.750

[10]
Density functional theory data (PBE) for an optimized crystal structure of CsBaCdIn2.

Results
**Uncorrected energy**: -1.016 eV/atom
**Mass density**: 3.73 g/cm3
**M_tot**: 0.00 μB per atom

Lattice parameters (Å, degrees): 6.306 6.306 6.854 90.00 90.00 90.00
Positions (direct):
Cs 0.000 0.000 0.000
Ba 0.000 0.000 0.500
Cd 0.500 0.500 0.500
In 0.000 0.500 0.000
In 0.500 0.000 0.000

[11]
Density functional theory data (PBE) for an optimized crystal structure of PuCrP2.

Results
**Uncorrected energy**: -9.218 eV/atom
**Mass density**: 9.28 g/cm3
**M_tot**: 1.19 μB per atom

Lattice parameters (Å, degrees): 3.119 6.679 6.679 27.40 90.00 90.00
Positions (direct):
Pu 0.000 0.000 0.000
Cr 0.000 0.758 0.758
P 0.500 0.337 0.337
P 0.500 0.628 0.628

[12]
Density functional theory data (PBE) for an optimized crystal structure of TbInS2.

Results
**Uncorrected energy**: -5.290 eV/atom
**Formation energy (no corrections)**: -133.5 kJ per mole of atoms
**Mass density**: 5.31 g/cm3
**M_tot**: 0.00 μB per atom

Lattice parameters (Å, degrees): 7.952 7.952 7.952 29.17 29.17 29.17
Positions (direct):
Tb 0.000 0.000 0.000
In 0.829 0.829 0.829
S 0.402 0.402 0.402
S 0.602 0.602 0.602

[13]
Density functional theory data (PBE) for an optimized crystal structure of Tb4Y6Er19.

Results
**Uncorrected energy**: -4.574 eV/atom
**Mass density**: 7.61 g/cm3
**M_tot**: 0.04 μB per atom

Lattice parameters (Å, degrees): 10.722 10.722 10.722 109.47 109.47 109.47
Positions (direct):
Tb 0.000 0.000 0.642
Tb 0.000 0.642 0.000
Tb 0.358 0.358 0.358
Tb 0.642 0.000 0.000
Y 0.130 0.630 0.500
Y 0.370 0.500 0.870
Y 0.500 0.130 0.630
Y 0.500 0.870 0.370
Y 0.630 0.500 0.130
Y 0.870 0.370 0.500
Er 0.000 0.000 0.000
Er 0.000 0.260 0.260
Er 0.000 0.740 0.740
Er 0.017 0.805 0.340
Er 0.195 0.212 0.534
Er 0.212 0.534 0.195
Er 0.260 0.000 0.260
Er 0.260 0.260 0.000
Er 0.323 0.788 0.983
Er 0.340 0.017 0.805
Er 0.466 0.677 0.660
Er 0.534 0.195 0.212
Er 0.660 0.466 0.677
Er 0.677 0.660 0.466
Er 0.740 0.000 0.740
Er 0.740 0.740 0.000
Er 0.788 0.983 0.323
Er 0.805 0.340 0.017
Er 0.983 0.323 0.788

[14]
Density functional theory data (PBE) for an optimized crystal structure of PmSi2Ni2.

Results
**Uncorrected energy**: -6.251 eV/atom
**Formation energy (no corrections)**: -79.0 kJ per mole of atoms
**Mass density**: 6.82 g/cm3
**M_tot**: 0.00 μB per atom

Lattice parameters (Å, degrees): 4.030 4.030 9.553 90.00 90.00 90.00
Positions (direct):
Pm 0.250 0.250 0.249
Pm 0.750 0.750 0.751
Si 0.250 0.250 0.627
Si 0.250 0.750 0.000
Si 0.750 0.250 0.000
Si 0.750 0.750 0.373
Ni 0.250 0.250 0.876
Ni 0.250 0.750 0.500
Ni 0.750 0.250 0.500
Ni 0.750 0.750 0.124

[15]
Density functional theory data (PBE) for an optimized crystal structure of DyHo4Tm2.

Results
**Uncorrected energy**: -4.513 eV/atom
**Mass density**: 8.93 g/cm3
**M_tot**: 0.00 μB per atom

Lattice parameters (Å, degrees): 8.430 8.430 8.618 118.84 118.84 23.88
Positions (direct):
Dy 0.000 0.000 0.000
Ho 0.296 0.296 0.706
Ho 0.360 0.360 0.168
Ho 0.640 0.640 0.832
Ho 0.704 0.704 0.294
Tm 0.070 0.070 0.430
Tm 0.930 0.930 0.570

[16]
Density functional theory data (PBE) for an optimized crystal structure of VCo2Ge.

Results
**Uncorrected energy**: -7.150 eV/atom
**Mass density**: 8.38 g/cm3
**M_tot**: 0.32 μB per atom

Lattice parameters (Å, degrees): 3.729 3.729 3.443 90.00 90.00 90.00
Positions (direct):
V 0.000 0.000 0.000
Co 0.000 0.500 0.500
Co 0.500 0.000 0.500
Ge 0.500 0.500 0.000

[17]
Density functional theory data (PBE) for an optimized crystal structure of YVPt.

Results
**Uncorrected energy**: -7.531 eV/atom
**Mass density**: 9.30 g/cm3
**M_tot**: 0.06 μB per atom

Lattice parameters (Å, degrees): 5.461 5.461 4.715 104.96 104.96 63.19
Positions (direct):
Y 0.144 0.144 0.406
Y 0.856 0.856 0.594
V 0.482 0.482 0.262
V 0.518 0.518 0.738
Pt 0.000 0.500 0.000
Pt 0.500 0.000 0.000

[18]
Density functional theory data (PBE) for an optimized crystal structure of YTm2OsO8.

Results
**Uncorrected energy**: -8.094 eV/atom
**Formation energy (no corrections)**: -247.9 kJ per mole of atoms
**Mass density**: 7.40 g/cm3
**M_tot**: 0.09 μB per atom

Lattice parameters (Å, degrees): 4.988 4.988 6.723 90.00 90.00 90.34
Positions (direct):
Y 0.000 0.000 0.000
Tm 0.500 0.500 0.246
Tm 0.500 0.500 0.754
Os 0.000 0.000 0.500
O 0.186 0.814 0.291
O 0.186 0.814 0.709
O 0.268 0.268 0.500
O 0.310 0.310 0.000
O 0.690 0.690 0.000
O 0.732 0.732 0.500
O 0.814 0.186 0.291
O 0.814 0.186 0.709

[19]
Density functional theory data (PBE) for an optimized crystal structure of Mn2ZnSb.

Results
**Uncorrected energy**: -5.764 eV/atom
**Formation energy (no corrections)**: 16.4 kJ per mole of atoms
**Mass density**: 7.47 g/cm3
**M_tot**: 1.56 μB per atom

Lattice parameters (Å, degrees): 3.467 3.467 5.493 90.00 90.00 90.00
Positions (direct):
Mn 0.000 0.000 0.000
Mn 0.500 0.500 0.255
Zn 0.500 0.500 0.795
Sb 0.000 0.000 0.485

[20]
Density functional theory data (PBE) for an optimized crystal structure of Rb4Cu3AgCl12.

Results
**Uncorrected energy**: -3.142 eV/atom
**Formation energy (no corrections)**: -104.6 kJ per mole of atoms
**Mass density**: 3.60 g/cm3
**M_tot**: 0.00 μB per atom

Lattice parameters (Å, degrees): 8.613 8.613 8.613 109.47 109.47 109.47
Positions (direct):
Rb 0.000 0.000 0.500
Rb 0.000 0.500 0.000
Rb 0.500 0.000 0.000
Rb 0.500 0.500 0.500
Cu 0.000 0.500 0.500
Cu 0.500 0.000 0.500
Cu 0.500 0.500 0.000
Ag 0.000 0.000 0.000
Cl 0.000 0.264 0.264
Cl 0.000 0.736 0.736
Cl 0.250 0.500 0.750
Cl 0.250 0.750 0.500
Cl 0.264 0.000 0.264
Cl 0.264 0.264 0.000
Cl 0.500 0.250 0.750
Cl 0.500 0.750 0.250
Cl 0.736 0.000 0.736
Cl 0.736 0.736 0.000
Cl 0.750 0.250 0.500
Cl 0.750 0.500 0.250